Arrangement P

Here is a relaxed structure of AgMo2Os from the Alexandria database. Energies are from PBE.

## Properties
Symmetry: No. 122
Crystal system: tetragonal
Spin magnetization in μB per formula unit: 0.00

Cell lengths 5.8076, 5.8076, 5.8076 Å; angles 102.36, 102.36, 124.89 degrees
Element x y z (fractional)
Ag 0.0000 0.0000 0.0000
Ag 0.7500 0.2500 0.5000
Mo 0.1661 0.6250 0.0411
Mo 0.3750 0.4161 0.5411
Mo 0.5839 0.1250 0.9589
Mo 0.8750 0.8339 0.4589
Os 0.2500 0.7500 0.5000
Os 0.5000 0.5000 0.0000

Arrangement Q

Here is a relaxed structure of AgMo2Os from the Alexandria database. Energies are from PBE.

## Properties
Symmetry: No. 123
Crystal system: tetragonal
Spin magnetization in μB per formula unit: 0.00

Cell lengths 3.9269, 3.9269, 4.0354 Å; angles 90.00, 90.00, 90.00 degrees
Element x y z (fractional)
Ag 0.0000 0.0000 0.0000
Mo 0.0000 0.5000 0.5000
Mo 0.5000 0.0000 0.5000
Os 0.5000 0.5000 0.0000

The structure with the most favorable energy is arrangement Q; the runner-up is 432 meV per atom above it.

Arrangement P

Here is a relaxed structure of AgMo2Os from the Alexandria database. Energies are from PBE.

## Properties
Symmetry: No. 65
Crystal system: orthorhombic
Spin magnetization in μB per formula unit: 0.00

Cell lengths 4.8976, 4.8976, 2.7843 Å; angles 90.00, 90.00, 110.92 degrees
Element x y z (fractional)
Ag 0.0000 0.0000 0.0000
Mo 0.0000 0.5000 0.5000
Mo 0.5000 0.0000 0.5000
Os 0.5000 0.5000 0.0000

Arrangement Q

Here is a relaxed structure of AgMo2Os from the Alexandria database. Energies are from PBE.

## Properties
Symmetry: No. 123
Crystal system: tetragonal
Spin magnetization in μB per formula unit: 0.00

Cell lengths 2.7756, 2.7756, 8.2909 Å; angles 90.00, 90.00, 90.00 degrees
Element x y z (fractional)
Ag 0.0000 0.0000 0.0000
Mo 0.5000 0.5000 0.2723
Mo 0.5000 0.5000 0.7277
Os 0.0000 0.0000 0.5000

Arrangement R

Here is a relaxed structure of AgMo2Os from the Alexandria database. Energies are from PBE.

## Properties
Symmetry: No. 10
Crystal system: monoclinic
Spin magnetization in μB per formula unit: 0.00

Cell lengths 4.7808, 2.8569, 4.8535 Å; angles 90.00, 108.84, 90.00 degrees
Element x y z (fractional)
Ag 0.0000 0.0000 0.0000
Mo 0.0000 0.5000 0.5000
Mo 0.5000 0.0000 0.5000
Os 0.5000 0.5000 0.0000

Arrangement S

Here is a relaxed structure of AgMo2Os from the Alexandria database. Energies are from PBE.

## Properties
Symmetry: No. 99
Crystal system: tetragonal
Spin magnetization in μB per formula unit: 0.00

Cell lengths 2.7726, 2.7726, 8.3682 Å; angles 90.00, 90.00, 90.00 degrees
Element x y z (fractional)
Ag 0.0000 0.0000 0.0000
Mo 0.0000 0.0000 0.5228
Mo 0.5000 0.5000 0.2654
Os 0.5000 0.5000 0.7357

The structure with the most favorable energy is arrangement Q; the runner-up is 101 meV per atom above it.

Arrangement P

Here is a relaxed structure of AgMoOs2 from the Alexandria database. Energies are from PBE.

## Properties
Symmetry: No. 139
Crystal system: tetragonal
Spin magnetization in μB per formula unit: 0.00

Cell lengths 4.7824, 4.7824, 4.7824 Å; angles 130.89, 130.89, 71.99 degrees
Element x y z (fractional)
Ag 0.0000 0.0000 0.0000
Mo 0.5000 0.5000 0.0000
Os 0.2500 0.7500 0.5000
Os 0.7500 0.2500 0.5000

Arrangement Q

Here is a relaxed structure of AgMoOs2 from the Alexandria database. Energies are from PBE.

## Properties
Symmetry: No. 6
Crystal system: monoclinic
Spin magnetization in μB per formula unit: 0.00

Cell lengths 2.7632, 3.9789, 5.6346 Å; angles 90.00, 90.12, 90.00 degrees
Element x y z (fractional)
Ag 0.0000 0.0000 0.0000
Mo 0.5018 0.5000 0.2727
Os 0.4982 0.5000 0.7235
Os 0.9974 0.0000 0.5104

The structure with the most favorable energy is arrangement Q; the runner-up is 84 meV per atom above it.